(1)
Compound: Y5Tl
Source: Alexandria via LeMat-Bulk
Functional: PBE
Structure: optimized geometry

It has space group Cmmm (No. 65), with a = 4.874 Å, b = 15.275 Å, c = 4.885 Å, α = 90.00°, β = 90.00° and γ = 90.00°. The distinct sites, in fractional coordinates, are Y at (0.000, 0.000, 0.000), Y at (0.000, 0.162, 0.500), Y at (0.000, 0.332, 0.000) and Tl at (0.000, 0.500, 0.500).

The uncorrected energy comes out at -5.895 eV/atom. For the energy above the most stable polymorph in this dataset, the calculation gives 3.6 meV/atom. As for the magnetization: 0.000 μB/atom.

***

(2)
Compound: Y3Tl
Source: Alexandria via LeMat-Bulk
Functional: PBE
Structure: optimized geometry

It has space group Pmm2 (No. 25), with a = 3.551 Å, b = 5.496 Å, c = 6.117 Å, α = 90.00°, β = 90.00° and γ = 90.00°. The distinct sites, in fractional coordinates, are Y at (0.000, 0.000, 0.000), Y at (0.000, 0.500, 0.346), Y at (0.500, 0.000, 0.513) and Tl at (0.500, 0.500, 0.825).

The uncorrected energy comes out at -5.548 eV/atom. As for the magnetization: 0.000 μB/atom.

***

(3)
Compound: Y2Tl
Source: Alexandria via LeMat-Bulk
Functional: PBE
Structure: optimized geometry

It has space group P-62m (No. 189), with a = 8.4569 Å, b = 8.4569 Å, c = 4.3380 Å, α = 90.00°, β = 90.00° and γ = 120.00°. The distinct sites, in fractional coordinates, are Y at (0.0000, 0.2638, 0.0000), Y at (0.0000, 0.5992, 0.5000), Tl at (0.0000, 0.0000, 0.5000) and Tl at (0.3333, 0.6667, 0.0000).

The uncorrected energy comes out at -5.376 eV/atom. As for the magnetization: 0.409 μB/atom.